1.
Below is a relaxed structure of TlAgSnTe3, with properties calculated at the PBE level.

Structure (POSCAR):
```
TlAgSnTe3
1.0
12.1780 0.0000 0.0000
0.0000 4.5012 0.0000
0.0000 0.0000 13.1775
Tl Ag Sn Te
4 4 4 12
Direct
0.2470 0.2500 0.0251
0.2530 0.7500 0.5251
0.7470 0.2500 0.4749
0.7530 0.7500 0.9749
0.2457 0.2500 0.3489
0.2543 0.7500 0.8489
0.7457 0.2500 0.1511
0.7543 0.7500 0.6511
0.0064 0.2500 0.7493
0.4936 0.7500 0.2493
0.5064 0.2500 0.7507
0.9936 0.7500 0.2507
0.0233 0.2500 0.4086
0.0299 0.7500 0.9065
0.2450 0.7500 0.2124
0.2550 0.2500 0.7124
0.4701 0.2500 0.4065
0.4767 0.7500 0.9086
0.5233 0.2500 0.0914
0.5299 0.7500 0.5935
0.7450 0.7500 0.2876
0.7550 0.2500 0.7876
0.9701 0.2500 0.0935
0.9767 0.7500 0.5914
```

Summary:
The energy relative to the lowest polymorph listed for this composition is 0.000 eV/atom. As for the electronic total energy: -3.2761 eV/atom. The symmetry is Pnma.

2.
Below is a relaxed structure of Ho4CI2Cl3, with properties calculated at the PBE level.

Structure (POSCAR):
```
Ho4CI2Cl3
1.0
9.1051 -1.8974 0.0000
9.1051 1.8974 0.0000
-1.4771 0.0000 7.7069
Ho C I Cl
4 1 2 3
Direct
0.0015 0.0015 0.2924
0.3670 0.3670 0.4295
0.6330 0.6330 0.5705
0.9985 0.9985 0.7076
0.5000 0.5000 0.5000
0.1739 0.1739 0.2985
0.8261 0.8261 0.7015
0.1498 0.1498 0.8219
0.5000 0.5000 0.0000
0.8502 0.8502 0.1781
```

Summary:
The energy relative to the lowest polymorph listed for this composition is 0.000 eV/atom. As for the electronic total energy: -5.0554 eV/atom. The symmetry is C2/m. The value obtained for the magnetization is 0.006 μB per atom.

3.
Below is a relaxed structure of Zr5SiBi3, with properties calculated at the PBE level.

Structure (POSCAR):
```
Zr5SiBi3
1.0
8.8101 0.0000 0.0000
-4.4051 7.6298 0.0000
0.0000 0.0000 5.9432
Zr Si Bi
10 2 6
Direct
0.0000 0.2552 0.2500
0.0000 0.7448 0.7500
0.2552 0.0000 0.2500
0.2552 0.2552 0.7500
0.3333 0.6667 0.0000
0.3333 0.6667 0.5000
0.6667 0.3333 0.0000
0.6667 0.3333 0.5000
0.7448 0.0000 0.7500
0.7448 0.7448 0.2500
0.0000 0.0000 0.0000
0.0000 0.0000 0.5000
0.0000 0.3948 0.7500
0.0000 0.6052 0.2500
0.3948 0.0000 0.7500
0.3948 0.3948 0.2500
0.6052 0.0000 0.2500
0.6052 0.6052 0.7500
```

Summary:
As for the electronic total energy: -7.2340 eV/atom. The symmetry is P6_3/mcm. The value obtained for the magnetization is 0.000 μB per atom.

4.
Below is a relaxed structure of SbIr10, with properties calculated at the PBE level.

Structure (POSCAR):
```
SbIr10
1.0
4.2842 -1.9293 0.0000
4.2842 1.9293 0.0000
-0.0430 0.0000 31.7300
Sb Ir
2 20
Direct
0.1521 0.1521 0.2088
0.8479 0.8479 0.7912
0.0502 0.0502 0.4047
0.0499 0.0499 0.6770
0.1499 0.1499 0.4865
0.1513 0.1513 0.7586
0.2503 0.2503 0.5683
0.2519 0.2519 0.2954
0.3486 0.3486 0.6499
0.3516 0.3516 0.3773
0.4500 0.4500 0.4592
0.4542 0.4542 0.7312
0.5458 0.5458 0.2688
0.5500 0.5500 0.5408
0.6484 0.6484 0.6227
0.6514 0.6514 0.3501
0.7481 0.7481 0.7046
0.7497 0.7497 0.4317
0.8487 0.8487 0.2414
0.8501 0.8501 0.5135
0.9501 0.9501 0.3230
0.9498 0.9498 0.5953
```

Summary:
As for the electronic total energy: -8.3788 eV/atom. The symmetry is C2/m. The value obtained for the magnetization is 0.000 μB per atom.

Question: What is the formula in the second record?
Answer: Ho4CI2Cl3